Here is a relaxed structure of Mn2AsH from the Alexandria database. Energies are from GGA-PBE.

## Properties
The total moment comes out at 4.8 μB/f.u. As for the energy above the lowest structure with this stoichiometry: 0 meV per atom. The density of states at the Fermi level is 0.55 states/eV/atom.

extended XYZ file:
```
16
Lattice="5.084 0.000 0.000 0.000 3.318 0.000 0.000 0.000 10.698" Properties=species:S:1:pos:R:3 pbc="T T T"
Mn 0.948 0.829 2.034
Mn 1.236 2.488 10.465
Mn 1.306 0.829 5.116
Mn 1.594 2.488 7.383
Mn 3.490 0.829 3.315
Mn 3.778 2.488 5.582
Mn 3.848 0.829 0.233
Mn 4.136 2.488 8.664
As 0.223 2.488 3.626
As 2.319 0.829 8.975
As 2.765 2.488 1.723
As 4.861 0.829 7.072
H 0.529 0.829 0.377
H 2.013 2.488 5.726
H 3.071 0.829 4.972
H 4.555 2.488 10.321
```

=====

Here is a relaxed structure of KSiOs2W from the Alexandria database. Energies are from GGA-PBE.

## Properties
The total moment comes out at 0.0 μB/f.u. Its uncorrected formation energy is 218 kJ per mole of atoms. The density of states at the Fermi level is 0.75 states/eV/atom.

extended XYZ file:
```
5
Lattice="4.730 0.000 0.000 0.000 4.730 0.000 0.000 0.000 5.557" Properties=species:S:1:pos:R:3 pbc="T T T"
K 0.000 0.000 0.000
Si 2.365 2.365 0.000
Os 0.000 2.365 2.778
Os 2.365 0.000 2.778
W 0.000 0.000 2.778
```

=====

Here is a relaxed structure of CoAgRu2 from the Alexandria database. Energies are from GGA-PBE.

## Properties
The value obtained for the formation energy is 522.3 meV/atom. The total moment comes out at 1.7 μB/f.u. The density of states at the Fermi level is 1.77 states/eV/atom.

extended XYZ file:
```
4
Lattice="-1.911 1.911 3.840 1.911 -1.911 3.840 1.911 1.911 -3.840" Properties=species:S:1:pos:R:3 pbc="T T T"
Co 0.000 0.000 0.000
Ag 0.000 1.911 1.920
Ru 1.911 0.000 1.920
Ru 0.000 0.000 3.840
```

=====

Here is a relaxed structure of Ba2SrTlPt from the Alexandria database. Energies are from GGA-PBE.

## Properties
The value obtained for the formation energy is -441.1 meV/atom. The total moment comes out at 0.0 μB/f.u. As for the energy above the lowest structure with this stoichiometry: 0 meV per atom. The density of states at the Fermi level is 1.01 states/eV/atom.

extended XYZ file:
```
5
Lattice="6.154 0.000 0.000 0.000 6.154 0.000 0.000 0.000 5.919" Properties=species:S:1:pos:R:3 pbc="T T T"
Ba 0.000 3.077 0.000
Ba 3.077 0.000 0.000
Sr 0.000 0.000 2.960
Tl 3.077 3.077 2.960
Pt 0.000 0.000 0.000
```

=====

Here is a relaxed structure of La2DyTm from the Alexandria database. Energies are from GGA-PBE.

## Properties
The value obtained for the formation energy is 21.8 meV/atom. The total moment comes out at 0.0 μB/f.u. As for the energy above the lowest structure with this stoichiometry: 0 meV per atom. The density of states at the Fermi level is 1.50 states/eV/atom.

extended XYZ file:
```
4
Lattice="5.217 0.000 0.000 0.000 5.217 0.000 0.000 0.000 4.964" Properties=species:S:1:pos:R:3 pbc="T T T"
La 0.000 2.609 0.000
La 2.609 0.000 0.000
Dy 0.000 0.000 2.482
Tm 2.609 2.609 2.482
```

=====

Here is a relaxed structure of YTe2IN from the Alexandria database. Energies are from GGA-PBE.

## Properties
The total moment comes out at 0.2 μB/f.u. Its uncorrected formation energy is 30 kJ per mole of atoms. As for the energy above the lowest structure with this stoichiometry: 179 meV per atom. The density of states at the Fermi level is 1.12 states/eV/atom.

extended XYZ file:
```
5
Lattice="6.209 0.000 0.000 0.000 6.209 0.000 0.000 0.000 4.074" Properties=species:S:1:pos:R:3 pbc="T T T"
Y 0.000 0.000 0.000
Te 0.000 3.105 0.000
Te 3.105 0.000 0.000
I 3.105 3.105 2.037
N 0.000 0.000 2.037
```

=====

Here is a relaxed structure of CaPmGePb from the Alexandria database. Energies are from GGA-PBE.

## Properties
The value obtained for the formation energy is -447.6 meV/atom. The total moment comes out at 0.0 μB/f.u. The density of states at the Fermi level is 0.89 states/eV/atom.

extended XYZ file:
```
4
Lattice="0.000 3.808 3.808 3.808 0.000 3.808 3.808 3.808 0.000" Properties=species:S:1:pos:R:3 pbc="T T T"
Ca 0.000 0.000 0.000
Pm 3.808 3.808 3.808
Ge 1.904 1.904 1.904
Pb 5.713 5.713 5.713
```

=====

Here is a relaxed structure of Pr2MgGe3Au4 from the Alexandria database. Energies are from GGA-PBE.

## Properties
The value obtained for the formation energy is -620.8 meV/atom. The total moment comes out at 0.0 μB/f.u. The density of states at the Fermi level is 0.44 states/eV/atom.

extended XYZ file:
```
10
Lattice="4.400 0.000 0.000 0.000 4.400 0.000 0.000 0.000 11.062" Properties=species:S:1:pos:R:3 pbc="T T T"
Pr 0.000 2.200 2.551
Pr 2.200 0.000 8.511
Mg 0.000 0.000 5.531
Ge 0.000 2.200 9.548
Ge 2.200 0.000 1.514
Ge 2.200 2.200 5.531
Au 0.000 0.000 0.000
Au 0.000 2.200 7.036
Au 2.200 0.000 4.026
Au 2.200 2.200 0.000
```

=====

Here is a relaxed structure of KSb from the Alexandria database. Energies are from GGA-PBE.

## Properties
The total moment comes out at 0.0 μB/f.u. Its uncorrected formation energy is -18 kJ per mole of atoms. As for the energy above the lowest structure with this stoichiometry: 256 meV per atom. The density of states at the Fermi level is 0.75 states/eV/atom.

extended XYZ file:
```
2
Lattice="4.680 0.000 0.000 0.000 4.680 0.000 0.000 0.000 3.183" Properties=species:S:1:pos:R:3 pbc="T T T"
K 0.000 0.000 0.000
Sb 2.340 2.340 1.592
```

=====

Here is a relaxed structure of Na2CoH6Pt from the Alexandria database. Energies are from GGA-PBE.

## Properties
The total moment comes out at 0.0 μB/f.u. The value obtained for the uncorrected energy is -37.749 eV/cell. The density of states at the Fermi level is 0.37 states/eV/atom.

extended XYZ file:
```
10
Lattice="3.459 -3.502 0.000 3.459 3.502 0.000 -3.445 0.000 3.493" Properties=species:S:1:pos:R:3 pbc="T T T"
Na 3.459 1.753 0.000
Na 3.459 -1.753 0.000
Co -1.722 0.000 1.747
H 1.737 1.808 1.747
H -1.709 0.000 3.439
H -0.036 0.000 1.754
H 3.510 0.000 1.739
H 5.183 0.000 0.054
H 1.737 -1.808 1.747
Pt 1.737 0.000 1.747
```

=====

Here is a relaxed structure of KTlTc2 from the Alexandria database. Energies are from GGA-PBE.

## Properties
The value obtained for the formation energy is 642.0 meV/atom. The total moment comes out at 0.0 μB/f.u. As for the energy above the lowest structure with this stoichiometry: 157 meV per atom. The density of states at the Fermi level is 0.84 states/eV/atom.

extended XYZ file:
```
4
Lattice="4.048 -1.538 0.000 4.048 1.538 0.000 -0.735 0.000 8.034" Properties=species:S:1:pos:R:3 pbc="T T T"
K 0.000 0.000 0.000
Tl 5.911 0.000 2.757
Tc 1.368 0.000 5.430
Tc 3.669 0.000 4.647
```

=====

Here is a relaxed structure of Y2FeCo from the Alexandria database. Energies are from GGA-PBE.

## Properties
The value obtained for the formation energy is 99.6 meV/atom. The total moment comes out at 3.7 μB/f.u. As for the energy above the lowest structure with this stoichiometry: 228 meV per atom. The density of states at the Fermi level is 0.86 states/eV/atom.

extended XYZ file:
```
4
Lattice="3.214 0.000 0.000 0.000 3.214 0.000 0.000 0.000 8.051" Properties=species:S:1:pos:R:3 pbc="T T T"
Y 0.000 0.000 0.000
Y 1.607 1.607 3.137
Fe 1.607 1.607 6.090
Co 0.000 0.000 4.997
```

=====

Repeat the fifth record exactly.
Here is a relaxed structure of La2DyTm from the Alexandria database. Energies are from GGA-PBE.

## Properties
The value obtained for the formation energy is 21.8 meV/atom. The total moment comes out at 0.0 μB/f.u. As for the energy above the lowest structure with this stoichiometry: 0 meV per atom. The density of states at the Fermi level is 1.50 states/eV/atom.

extended XYZ file:
```
4
Lattice="5.217 0.000 0.000 0.000 5.217 0.000 0.000 0.000 4.964" Properties=species:S:1:pos:R:3 pbc="T T T"
La 0.000 2.609 0.000
La 2.609 0.000 0.000
Dy 0.000 0.000 2.482
Tm 2.609 2.609 2.482
```